# NiPt3 (PBEsol, relaxed)
data_NiPt3
_chemical_formula_sum 'Ni1 Pt3'
_space_group_name_H-M_alt 'P m m 2'
_space_group_IT_number 25
_space_group_name_Hall 'P 2 -2'
_cell_length_a 2.707
_cell_length_b 4.493
_cell_length_c 4.645
_cell_angle_alpha 90.00
_cell_angle_beta 90.00
_cell_angle_gamma 90.00
loop_
_atom_site_label
_atom_site_type_symbol
_atom_site_fract_x
_atom_site_fract_y
_atom_site_fract_z
Ni1 Ni 0.000 0.000 0.000
Pt1 Pt 0.000 0.500 0.330
Pt2 Pt 0.500 0.000 0.500
Pt3 Pt 0.500 0.500 0.837
# E	-26.93	eV for the cell shown
# ΔE_f	0.67	kcal/mol of atoms